First-principles (PBE+U) data for CsWOF2 after structural relaxation, as listed in Alexandria.

Lattice parameters (Å, degrees): 4.456 4.456 4.269 90.00 90.00 90.00
Positions (direct):
Cs: 0.000 0.000 0.000
W: 0.500 0.500 0.500
O: 0.500 0.500 0.000
F: 0.000 0.500 0.500
F: 0.500 0.000 0.500

Properties
* spin magnetization: 3.00 Bohr magnetons per cell
* relative energy among the computed polymorphs: 0.0000 eV per atom
* E: -5.44 eV per atom
* density: 7.26 g cm⁻³